Li2CrTeO6 | PBEsol | relaxed

a = 5.010 Å, b = 5.010 Å, c = 5.245 Å
α = 61.48°, β = 61.48°, γ = 60.00°
Fractional positions:
Cr 0.001 0.001 0.997
Te 0.501 0.501 0.498
O 0.739 0.371 0.771
O 0.371 0.120 0.771
O 0.120 0.739 0.771
O 0.878 0.230 0.268
O 0.624 0.878 0.268
O 0.230 0.624 0.268
Li 0.283 0.283 0.150
Li 0.788 0.788 0.635

Results
Its formation energy (no corrections) is -1.622 eV per atom. The calculation puts the total moment at 0.2000 μB/atom.